Entry 1:
Entry from Alexandria via LeMat-Bulk: an optimized crystal structure of CaZrSi4 (PBE).

Cell lengths 5.223, 5.223, 5.223 Å; angles 60.00, 60.00, 60.00 degrees
Positions (direct):
Ca 0.000 0.000 0.000
Zr 0.750 0.750 0.750
Si 0.377 0.870 0.377
Si 0.870 0.377 0.377
Si 0.377 0.377 0.870
Si 0.377 0.377 0.377

Results
Formation energy from raw total energies, eV per atom: -0.130
Symmetry: F-43m (216)

***

Entry 2:
Entry from Alexandria via LeMat-Bulk: an optimized crystal structure of RbHgBiAu2 (PBE).

Cell lengths 4.847, 4.658, 7.249 Å; angles 108.74, 109.53, 90.00 degrees
Positions (direct):
Rb 0.447 0.447 0.894
Hg 0.838 0.838 0.677
Bi 0.186 0.686 0.372
Au 0.685 0.185 0.370
Au 0.056 0.056 0.112

Results
ΔH_f (0 K), eV per atom: -0.166
Symmetry: Imm2 (44)

***

Entry 3:
Entry from Alexandria via LeMat-Bulk: an optimized crystal structure of Nd3InHg (PBE).

Cell lengths 6.559, 11.990, 9.769 Å; angles 125.96, 90.00, 90.00 degrees
Positions (direct):
Nd 0.248 0.432 0.678
Nd 0.252 0.932 0.178
Nd 0.480 0.245 0.266
Nd 0.980 0.255 0.234
Nd 0.520 0.755 0.734
Nd 0.752 0.568 0.322
Nd 0.829 0.155 0.519
Nd 0.171 0.845 0.481
Nd 0.748 0.068 0.822
Nd 0.020 0.745 0.766
Nd 0.671 0.655 0.019
Nd 0.329 0.345 0.981
In 0.250 0.536 0.397
In 0.750 0.464 0.603
In 0.250 0.036 0.897
In 0.750 0.964 0.103
Hg 0.849 0.368 0.923
Hg 0.349 0.132 0.577
Hg 0.151 0.632 0.077
Hg 0.651 0.868 0.423

Results
ΔH_f (0 K), eV per atom: -0.306
Symmetry: P2_1/c (14)

***

Entry 4:
Entry from Alexandria via LeMat-Bulk: an optimized crystal structure of PmLuS (PBE).

Cell lengths 6.391, 3.774, 3.774 Å; angles 120.00, 90.00, 90.00 degrees
Last column: magnetic moment on the atom in μB.
Positions (direct):
S 0.321 0.333 0.667  0.00
Lu 0.075 0.000 0.000  0.12
Pm 0.604 0.667 0.333  -0.10

Results
Formation energy from raw total energies, eV per atom: -1.233
Symmetry: P3m1 (156)

***

Entry 5:
Entry from Alexandria via LeMat-Bulk: an optimized crystal structure of Sr2ReAs (PBE).

Cell lengths 6.105, 6.105, 5.323 Å; angles 68.98, 68.98, 35.34 degrees
Positions (direct):
Re 0.814 0.814 0.702
As 0.456 0.456 0.521
Sr 0.016 0.016 0.973
Sr 0.215 0.215 0.304

Results
ΔH_f (0 K), eV per atom: 0.132
Symmetry: Cm (8)

***

Entry 6:
Entry from Alexandria via LeMat-Bulk: an optimized crystal structure of BaRhBr6 (PBE).

Cell lengths 6.949, 6.993, 7.419 Å; angles 62.31, 62.39, 60.21 degrees
Last column: magnetic moment on the atom in μB.
Positions (direct):
Ba 0.500 0.500 0.500  0.00
Rh 0.000 0.000 0.000  0.20
Br 0.004 0.398 0.774  0.04
Br 0.819 0.004 0.775  0.03
Br 0.601 0.178 0.226  0.04
Br 0.181 0.996 0.225  0.03
Br 0.996 0.602 0.226  0.04
Br 0.399 0.822 0.774  0.04

Results
Formation energy from raw total energies, eV per atom: -0.908
Symmetry: P-1 (2)

***

Entry 7:
Entry from Alexandria via LeMat-Bulk: an optimized crystal structure of Dy2Er2Ru (PBE).

Cell lengths 7.293, 6.935, 7.735 Å; angles 73.84, 58.05, 58.28 degrees
Positions (direct):
Dy 0.827 0.000 0.402
Dy 0.648 0.000 0.095
Dy 0.352 0.000 0.905
Dy 0.173 0.000 0.598
Er 0.575 0.447 0.753
Er 0.425 0.553 0.247
Er 0.021 0.553 0.753
Er 0.979 0.447 0.247
Ru 0.128 0.744 0.000
Ru 0.872 0.256 0.000

Results
ΔH_f (0 K), eV per atom: -0.176
Symmetry: C2/m (12)

***

Entry 8:
Entry from Alexandria via LeMat-Bulk: an optimized crystal structure of PmPr3Pd2 (PBE).

Cell lengths 8.437, 8.437, 8.437 Å; angles 147.35, 147.64, 46.63 degrees
Positions (direct):
Pm 0.000 0.000 0.000
Pr 0.500 0.500 0.000
Pr 0.313 0.813 0.500
Pr 0.687 0.187 0.500
Pd 0.868 0.368 0.500
Pd 0.132 0.632 0.500

Results
ΔH_f (0 K), eV per atom: -0.417
Symmetry: Immm (71)

***

no.,raw total energy (eV/atom)
1,-5.50
2,-2.51
3,-3.77
4,-5.70
5,-4.98
6,-3.32
7,-5.70
8,-5.33